[1]
Computed, not measured: a relaxed structure of Ta3TcCl at the PBE level of DFT.

## Properties
Magnetization   0.000 μB per atom
Crystal system   cubic
Raw formation energy   1022 meV per atom
Theoretical density   12482 kg/m3
Space-group type   No. 221
V   18.0 Å³ per atom
Relative energy among the computed polymorphs   0.000 eV per atom

Cell and atoms, written as POSCAR:
```
Ta3TcCl
1.0
-2.3983 -2.3712 -2.9503
3.1845 0.6239 -3.0901
2.0460 -3.7506 1.3512
Cl Tc Ta
1 1 3
direct
0.0000 0.0000 0.0000
0.5000 0.5000 0.5000
0.0000 0.5000 0.0000
0.0000 0.0000 0.5000
0.5000 0.0000 0.0000
```

[2]
Computed, not measured: a relaxed structure of TaTc4Cl at the PBE level of DFT.

## Properties
Magnetization   0.000 μB per atom
Crystal system   cubic
Raw formation energy   729 meV per atom
Theoretical density   10200 kg/m3
Space-group type   No. 216
V   16.5 Å³ per atom

Cell and atoms, written as POSCAR:
```
TaTc4Cl
1.0
0.0000 3.6723 3.6723
3.6723 0.0000 3.6723
3.6723 3.6723 0.0000
Ta Tc Cl
1 4 1
direct
0.0000 0.0000 0.0000
0.6248 0.6248 0.1255
0.6248 0.1255 0.6248
0.6248 0.6248 0.6248
0.1255 0.6248 0.6248
0.2500 0.2500 0.2500
```

Question: Look up the magnetization of the first one.
Answer: 0.000 μB per atom

Question: What is the V in the first record?
Answer: 18.0 Å³ per atom

Copy entry 2 word for word.
Computed, not measured: a relaxed structure of TaTc4Cl at the PBE level of DFT.

## Properties
Magnetization   0.000 μB per atom
Crystal system   cubic
Raw formation energy   729 meV per atom
Theoretical density   10200 kg/m3
Space-group type   No. 216
V   16.5 Å³ per atom

Cell and atoms, written as POSCAR:
```
TaTc4Cl
1.0
0.0000 3.6723 3.6723
3.6723 0.0000 3.6723
3.6723 3.6723 0.0000
Ta Tc Cl
1 4 1
direct
0.0000 0.0000 0.0000
0.6248 0.6248 0.1255
0.6248 0.1255 0.6248
0.6248 0.6248 0.6248
0.1255 0.6248 0.6248
0.2500 0.2500 0.2500
```